(1)
Entry from Alexandria via LeMat-Bulk: a relaxed YHfV crystal (GGA-PBE).

Cell: 5.8364 5.8364 8.4721 Å, 90.00 90.00 114.60°
Closest atoms and distances in Å follow each position.
Positions (direct):
Y 0.1287 0.3713 0.2500  2 Y 3.15, 6 V 3.16-3.39, 6 Hf 3.20-3.27
Y 0.3713 0.1287 0.7500  2 Y 3.15, 6 V 3.16-3.39, 6 Hf 3.20-3.27
Y 0.6287 0.8713 0.2500  2 Y 3.15, 6 V 3.16-3.39, 6 Hf 3.20-3.27
Y 0.8713 0.6287 0.7500  2 Y 3.15, 6 V 3.16-3.39, 6 Hf 3.20-3.27
Hf 0.1319 0.8681 0.4123  4 V 2.85-3.16, 1 Hf 2.99
Hf 0.3681 0.6319 0.9123  4 V 2.85-3.16, 1 Hf 2.99
Hf 0.6319 0.3681 0.0877  4 V 2.85-3.16, 1 Hf 2.99
Hf 0.8681 0.1319 0.5877  4 V 2.85-3.16, 1 Hf 2.99
V 0.1134 0.8866 0.0732  1 V 2.55, 1 Hf 2.85
V 0.3866 0.6134 0.5732  1 V 2.55, 1 Hf 2.85
V 0.6134 0.3866 0.4268  1 V 2.55, 1 Hf 2.85
V 0.8866 0.1134 0.9268  1 V 2.55, 1 Hf 2.85

Computed properties:
D(E_F): 3.16 states/eV/f.u.
space-group type: Cmce
calculated density: 8.06 g/cm³
total DFT energy (no corrections): -8.165 eV/atom

***

(2)
Entry from Alexandria via LeMat-Bulk: a relaxed YHf2V crystal (GGA-PBE).

Cell: 4.9927 4.9927 4.9927 Å, 60.00 60.00 60.00°
Closest atoms and distances in Å follow each position.
Positions (direct):
Y 0.0000 0.0000 0.0000  8 Hf 3.06
Hf 0.2500 0.2500 0.2500  4 V 3.06, 4 Y 3.06
Hf 0.7500 0.7500 0.7500  4 V 3.06, 4 Y 3.06
V 0.5000 0.5000 0.5000  8 Hf 3.06

Computed properties:
D(E_F): 5.30 states/eV/f.u.
space-group type: Fm-3m
calculated density: 9.38 g/cm³
total DFT energy (no corrections): -8.476 eV/atom
distance to the lowest polymorph of the same formula: 0.204 eV per atom

***

(3)
Entry from Alexandria via LeMat-Bulk: a relaxed YHfV2 crystal (GGA-PBE).

Cell: 4.8770 4.8770 4.8770 Å, 60.00 60.00 60.00°
Closest atoms and distances in Å follow each position.
Positions (direct):
Y 0.0000 0.0000 0.0000  8 V 2.99
Hf 0.5000 0.5000 0.5000  8 V 2.99
V 0.2500 0.2500 0.2500  4 Hf 2.99, 4 Y 2.99
V 0.7500 0.7500 0.7500  4 Hf 2.99, 4 Y 2.99

Computed properties:
D(E_F): 4.96 states/eV/f.u.
space-group type: Fm-3m
calculated density: 7.48 g/cm³
total DFT energy (no corrections): -8.290 eV/atom
distance to the lowest polymorph of the same formula: 0.000 eV per atom

***

(4)
Entry from Alexandria via LeMat-Bulk: a relaxed Y2HfV2 crystal (GGA-PBE).

Cell: 7.9548 7.9548 3.6279 Å, 90.00 90.00 90.00°
Closest atoms and distances in Å follow each position.
Positions (direct):
Y 0.2004 0.2996 0.0000  6 V 3.00-3.05
Y 0.2996 0.7996 0.0000  6 V 3.00-3.05
Y 0.7004 0.2004 0.0000  6 V 3.00-3.05
Y 0.7996 0.7004 0.0000  6 V 3.00-3.05
Hf 0.0000 0.0000 0.5000  4 V 3.36, 8 Y 3.39, 2 Hf 3.63
Hf 0.5000 0.5000 0.5000  4 V 3.36, 8 Y 3.39, 2 Hf 3.63
V 0.0869 0.5869 0.5000  1 V 1.96
V 0.4131 0.0869 0.5000  1 V 1.96
V 0.5869 0.9131 0.5000  1 V 1.96
V 0.9131 0.4131 0.5000  1 V 1.96

Computed properties:
D(E_F): 6.64 states/eV/f.u.
space-group type: P4/mbm
calculated density: 6.63 g/cm³
total DFT energy (no corrections): -7.776 eV/atom

***

(5)
Entry from Alexandria via LeMat-Bulk: a relaxed Y2HfV crystal (GGA-PBE).

Cell: 6.5600 6.5600 6.5600 Å, 102.63 102.63 124.24°
Closest atoms and distances in Å follow each position.
Positions (direct):
Y 0.0860 0.6250 0.9610  2 V 2.79
Y 0.3750 0.3360 0.4610  2 V 2.79
Y 0.6640 0.1250 0.0390  2 V 2.79
Y 0.8750 0.9140 0.5390  2 V 2.79
Hf 0.2500 0.7500 0.5000  2 V 3.07, 4 Y 3.23
Hf 0.5000 0.5000 0.0000  2 V 3.07, 4 Y 3.23
V 0.0000 0.0000 0.0000  4 Y 2.79, 2 Hf 3.07
V 0.7500 0.2500 0.5000  4 Y 2.79, 2 Hf 3.07

Computed properties:
D(E_F): 5.66 states/eV/f.u.
space-group type: I-42d
calculated density: 6.56 g/cm³
total DFT energy (no corrections): -7.257 eV/atom
distance to the lowest polymorph of the same formula: 0.311 eV per atom

***

(6)
Entry from Alexandria via LeMat-Bulk: a relaxed Hf2VZn crystal (GGA-PBE).

Cell: 4.4263 4.4263 3.6893 Å, 90.00 90.00 90.00°
Closest atoms and distances in Å follow each position.
Positions (direct):
Hf 0.0000 0.5000 0.0000  4 Zn 2.88, 4 V 2.88, 4 Hf 3.13
Hf 0.5000 0.0000 0.0000  4 Zn 2.88, 4 V 2.88, 4 Hf 3.13
V 0.0000 0.0000 0.5000  8 Hf 2.88, 4 Zn 3.13
Zn 0.5000 0.5000 0.5000  8 Hf 2.88, 4 V 3.13

Computed properties:
D(E_F): 4.61 states/eV/f.u.
space-group type: P4/mmm
calculated density: 10.87 g/cm³
total DFT energy (no corrections): -7.568 eV/atom

***

(7)
Entry from Alexandria via LeMat-Bulk: a relaxed Hf2V2Zn crystal (GGA-PBE).

Cell: 6.7505 6.7505 3.8510 Å, 90.00 90.00 90.00°
Closest atoms and distances in Å follow each position.
Positions (direct):
Hf 0.1735 0.3265 0.0000  6 V 2.72-2.80
Hf 0.3265 0.8265 0.0000  6 V 2.72-2.80
Hf 0.6735 0.1735 0.0000  6 V 2.72-2.80
Hf 0.8265 0.6735 0.0000  6 V 2.72-2.80
V 0.1247 0.6247 0.5000  1 V 2.38
V 0.3753 0.1247 0.5000  1 V 2.38
V 0.6247 0.8753 0.5000  1 V 2.38
V 0.8753 0.3753 0.5000  1 V 2.38
Zn 0.0000 0.0000 0.5000  4 V 2.67
Zn 0.5000 0.5000 0.5000  4 V 2.67

Computed properties:
D(E_F): 3.06 states/eV/f.u.
space-group type: P4/mbm
calculated density: 9.92 g/cm³
total DFT energy (no corrections): -7.803 eV/atom

***

(8)
Entry from Alexandria via LeMat-Bulk: a relaxed HfV2Zn2 crystal (GGA-PBE).

Cell: 7.5709 7.5709 2.7253 Å, 90.00 90.00 90.00°
Closest atoms and distances in Å follow each position.
Positions (direct):
Hf 0.0000 0.0000 0.0000  2 Hf 2.73
Hf 0.5000 0.5000 0.0000  2 Hf 2.73
V 0.1074 0.3926 0.0000  1 V 2.30
V 0.3926 0.8926 0.0000  1 V 2.30
V 0.6074 0.1074 0.0000  1 V 2.30
V 0.8926 0.6074 0.0000  1 V 2.30
Zn 0.1854 0.6854 0.5000  6 V 2.60-2.67, 2 Zn 2.73
Zn 0.3146 0.1854 0.5000  6 V 2.60-2.67, 2 Zn 2.73
Zn 0.6854 0.8146 0.5000  6 V 2.60-2.67, 2 Zn 2.73
Zn 0.8146 0.3146 0.5000  6 V 2.60-2.67, 2 Zn 2.73

Computed properties:
D(E_F): 4.67 states/eV/f.u.
space-group type: P4/mbm
calculated density: 8.74 g/cm³
total DFT energy (no corrections): -6.025 eV/atom
distance to the lowest polymorph of the same formula: 0.030 eV per atom

***

(9)
Entry from Alexandria via LeMat-Bulk: a relaxed HfVZn3 crystal (GGA-PBE).

Cell: 4.5853 4.5853 4.5853 Å, 90.00 90.00 90.00°
Closest atoms and distances in Å follow each position.
Positions (direct):
Hf 0.0000 0.0000 0.0000  12 Zn 3.24
V 0.5000 0.5000 0.5000  6 Zn 2.29
Zn 0.0000 0.5000 0.5000  2 V 2.29
Zn 0.5000 0.0000 0.5000  2 V 2.29
Zn 0.5000 0.5000 0.0000  2 V 2.29

Computed properties:
D(E_F): 3.57 states/eV/f.u.
space-group type: Pm-3m
calculated density: 7.33 g/cm³
total DFT energy (no corrections): -3.768 eV/atom
distance to the lowest polymorph of the same formula: 0.000 eV per atom

***

(10)
Entry from Alexandria via LeMat-Bulk: a relaxed HfV2Zn2 crystal (GGA-PBE).

Cell: 7.1467 7.1467 3.0807 Å, 90.00 90.00 90.00°
Closest atoms and distances in Å follow each position.
Positions (direct):
Hf 0.0000 0.0000 0.0000  4 Zn 2.84, 8 V 3.05, 2 Hf 3.08
Hf 0.5000 0.5000 0.0000  4 Zn 2.84, 8 V 3.05, 2 Hf 3.08
V 0.1784 0.3216 0.5000  6 Zn 2.55-2.67
V 0.3216 0.8216 0.5000  6 Zn 2.55-2.67
V 0.6784 0.1784 0.5000  6 Zn 2.55-2.67
V 0.8216 0.6784 0.5000  6 Zn 2.55-2.67
Zn 0.1207 0.6207 0.0000  1 Zn 2.44, 6 V 2.55-2.67
Zn 0.3793 0.1207 0.0000  1 Zn 2.44, 6 V 2.55-2.67
Zn 0.6207 0.8793 0.0000  1 Zn 2.44, 6 V 2.55-2.67
Zn 0.8793 0.3793 0.0000  1 Zn 2.44, 6 V 2.55-2.67

Computed properties:
D(E_F): 6.66 states/eV/f.u.
space-group type: P4/mbm
calculated density: 8.68 g/cm³
total DFT energy (no corrections): -6.004 eV/atom
distance to the lowest polymorph of the same formula: 0.051 eV per atom

***

(11)
Entry from Alexandria via LeMat-Bulk: a relaxed Hf2VZn crystal (GGA-PBE).

Cell: 3.3055 3.3055 6.6718 Å, 90.00 90.00 90.00°
Closest atoms and distances in Å follow each position.
Positions (direct):
Hf 0.0000 0.0000 0.2429  4 V 2.84, 4 Zn 2.90
Hf 0.0000 0.0000 0.7571  4 V 2.84, 4 Zn 2.90
V 0.5000 0.5000 0.0000  8 Hf 2.84
Zn 0.5000 0.5000 0.5000  8 Hf 2.90

Computed properties:
D(E_F): 4.63 states/eV/f.u.
space-group type: P4/mmm
calculated density: 10.78 g/cm³
total DFT energy (no corrections): -7.624 eV/atom

***

(12)
Entry from Alexandria via LeMat-Bulk: a relaxed HfV2Zn2 crystal (GGA-PBE).

Cell: 6.0307 6.0307 6.0307 Å, 142.03 142.03 54.79°
Closest atoms and distances in Å follow each position.
Positions (direct):
Hf 0.0000 0.0000 0.0000  8 V 2.94
V 0.4086 0.4086 0.0000  1 V 1.96
V 0.5914 0.5914 0.0000  1 V 1.96
Zn 0.2500 0.7500 0.5000  4 V 2.59, 4 Zn 2.77
Zn 0.7500 0.2500 0.5000  4 V 2.59, 4 Zn 2.77

Computed properties:
D(E_F): 4.88 states/eV/f.u.
space-group type: I4/mmm
calculated density: 8.28 g/cm³
total DFT energy (no corrections): -5.914 eV/atom
distance to the lowest polymorph of the same formula: 0.141 eV per atom

***

(13)
Entry from Alexandria via LeMat-Bulk: a relaxed HfV4Zn crystal (GGA-PBE).

Cell: 5.0719 5.0719 5.0719 Å, 60.00 60.00 60.00°
Closest atoms and distances in Å follow each position.
Positions (direct):
Hf 0.0000 0.0000 0.0000  12 V 2.97, 4 Zn 3.11
V 0.3722 0.3722 0.3722  6 V 2.48-2.59
V 0.3722 0.3722 0.8833  6 V 2.48-2.59
V 0.3722 0.8833 0.3722  6 V 2.48-2.59
V 0.8833 0.3722 0.3722  6 V 2.48-2.59
Zn 0.7500 0.7500 0.7500  12 V 2.98, 4 Hf 3.11

Computed properties:
D(E_F): 7.34 states/eV/f.u.
space-group type: F-43m
calculated density: 8.06 g/cm³
total DFT energy (no corrections): -7.824 eV/atom

***

(14)
Entry from Alexandria via LeMat-Bulk: a relaxed Hf3VZn crystal (GGA-PBE).

Cell: 4.9013 4.9013 4.9013 Å, 90.00 90.00 90.00°
Closest atoms and distances in Å follow each position.
Positions (direct):
Hf 0.0000 0.0000 0.5000  2 Zn 2.45
Hf 0.0000 0.5000 0.0000  2 Zn 2.45
Hf 0.5000 0.0000 0.0000  2 Zn 2.45
V 0.5000 0.5000 0.5000  12 Hf 3.47
Zn 0.0000 0.0000 0.0000  6 Hf 2.45

Computed properties:
D(E_F): 6.78 states/eV/f.u.
space-group type: Pm-3m
calculated density: 9.19 g/cm³
total DFT energy (no corrections): -7.075 eV/atom
distance to the lowest polymorph of the same formula: 0.186 eV per atom

***

(15)
Entry from Alexandria via LeMat-Bulk: a relaxed Hf2VZn crystal (GGA-PBE).

Cell: 9.1251 9.1251 9.1251 Å, 19.79 19.79 19.79°
Closest atoms and distances in Å follow each position.
Positions (direct):
Hf 0.2468 0.2468 0.2468  3 V 2.81, 3 Zn 2.94, 6 Hf 3.14
Hf 0.7532 0.7532 0.7532  3 V 2.81, 3 Zn 2.94, 6 Hf 3.14
V 0.5000 0.5000 0.5000  6 Hf 2.81, 6 V 3.14
Zn 0.0000 0.0000 0.0000  6 Hf 2.94, 6 Zn 3.14

Computed properties:
D(E_F): 3.42 states/eV/f.u.
space-group type: R-3m
calculated density: 10.32 g/cm³
total DFT energy (no corrections): -7.430 eV/atom

***

(16)
Entry from Alexandria via LeMat-Bulk: a relaxed HfV2Zn2 crystal (GGA-PBE).

Cell: 6.5378 6.5378 6.5378 Å, 147.74 147.74 46.27°
Closest atoms and distances in Å follow each position.
Positions (direct):
Hf 0.0000 0.0000 0.0000  8 Zn 2.83
V 0.2500 0.7500 0.5000  4 V 2.57, 4 Zn 2.57
V 0.7500 0.2500 0.5000  4 V 2.57, 4 Zn 2.57
Zn 0.4012 0.4012 0.0000  1 Zn 2.38, 4 V 2.57
Zn 0.5988 0.5988 0.0000  1 Zn 2.38, 4 V 2.57

Computed properties:
D(E_F): 6.27 states/eV/f.u.
space-group type: I4/mmm
calculated density: 8.60 g/cm³
total DFT energy (no corrections): -6.055 eV/atom
distance to the lowest polymorph of the same formula: 0.000 eV per atom

***

(17)
Entry from Alexandria via LeMat-Bulk: a relaxed HfV3Zn crystal (GGA-PBE).

Cell: 4.6606 4.6606 4.6606 Å, 90.00 90.00 90.00°
Closest atoms and distances in Å follow each position.
Positions (direct):
Hf 0.0000 0.0000 0.0000  6 V 2.33
V 0.0000 0.0000 0.5000  2 Hf 2.33
V 0.0000 0.5000 0.0000  2 Hf 2.33
V 0.5000 0.0000 0.0000  2 Hf 2.33
Zn 0.5000 0.5000 0.5000  12 V 3.30

Computed properties:
D(E_F): 6.35 states/eV/f.u.
space-group type: Pm-3m
calculated density: 6.51 g/cm³
total DFT energy (no corrections): -6.056 eV/atom
distance to the lowest polymorph of the same formula: 0.561 eV per atom

***

(18)
Entry from Alexandria via LeMat-Bulk: a relaxed HfVZn2 crystal (GGA-PBE).

Cell: 4.5046 4.5046 4.5046 Å, 60.00 60.00 60.00°
Closest atoms and distances in Å follow each position.
Positions (direct):
Hf 0.0000 0.0000 0.0000  8 Zn 2.76
V 0.5000 0.5000 0.5000  8 Zn 2.76
Zn 0.2500 0.2500 0.2500  4 Hf 2.76, 4 V 2.76
Zn 0.7500 0.7500 0.7500  4 Hf 2.76, 4 V 2.76

Computed properties:
D(E_F): 4.53 states/eV/f.u.
space-group type: Fm-3m
calculated density: 9.26 g/cm³
total DFT energy (no corrections): -5.383 eV/atom
distance to the lowest polymorph of the same formula: 0.052 eV per atom

***

(19)
Entry from Alexandria via LeMat-Bulk: a relaxed Hf3VZn crystal (GGA-PBE).

Cell: 4.8321 4.8321 4.8321 Å, 90.00 90.00 90.00°
Closest atoms and distances in Å follow each position.
Positions (direct):
Hf 0.0000 0.0000 0.5000  2 V 2.42
Hf 0.0000 0.5000 0.0000  2 V 2.42
Hf 0.5000 0.0000 0.0000  2 V 2.42
V 0.0000 0.0000 0.0000  6 Hf 2.42
Zn 0.5000 0.5000 0.5000  12 Hf 3.42

Computed properties:
D(E_F): 5.91 states/eV/f.u.
space-group type: Pm-3m
calculated density: 9.59 g/cm³
total DFT energy (no corrections): -7.261 eV/atom
distance to the lowest polymorph of the same formula: 0.000 eV per atom

***

(20)
Entry from Alexandria via LeMat-Bulk: a relaxed HfVZn3 crystal (GGA-PBE).

Cell: 5.0765 5.0765 5.0765 Å, 90.00 90.00 90.00°
Closest atoms and distances in Å follow each position.
Positions (direct):
Hf 0.0000 0.0000 0.0000  6 Zn 2.54
V 0.5000 0.5000 0.5000  12 Zn 3.59
Zn 0.0000 0.0000 0.5000  2 Hf 2.54
Zn 0.0000 0.5000 0.0000  2 Hf 2.54
Zn 0.5000 0.0000 0.0000  2 Hf 2.54

Computed properties:
D(E_F): 8.49 states/eV/f.u.
space-group type: Pm-3m
calculated density: 5.40 g/cm³
total DFT energy (no corrections): -3.223 eV/atom
distance to the lowest polymorph of the same formula: 0.545 eV per atom